Density functional theory data (PBE-GGA) for an optimized crystal structure of MnCrRe4.

## Properties
E_form   2.8 eV/f.u.

Unit cell a=5.130 b=5.130 c=5.130 alpha=60.00 beta=60.00 gamma=60.00
Atoms (fractional coordinates):
Mn1 0.000 0.000 0.000
Cr1 0.250 0.250 0.250
Re1 0.123 0.626 0.626
Re2 0.626 0.123 0.626
Re3 0.626 0.626 0.123
Re4 0.626 0.626 0.626

=====

Density functional theory data (PBE-GGA) for an optimized crystal structure of MnCr3Re2.

## Properties
E_form   0.4 eV/f.u.

Unit cell a=6.622 b=6.622 c=6.622 alpha=141.04 beta=72.50 gamma=121.54
Atoms (fractional coordinates):
Mn1 0.361 0.111 0.250
Mn2 0.639 0.889 0.750
Cr1 0.000 0.000 0.500
Cr2 0.000 0.500 0.000
Cr3 0.110 0.154 0.956
Cr4 0.301 0.846 0.456
Cr5 0.699 0.154 0.544
Cr6 0.890 0.846 0.044
Re1 0.183 0.564 0.619
Re2 0.445 0.564 0.881
Re3 0.555 0.436 0.119
Re4 0.817 0.436 0.381

=====

Density functional theory data (PBE-GGA) for an optimized crystal structure of MnCrRe2.

## Properties
E_form   0.4 eV/f.u.
Energy relative to the lowest polymorph listed for this composition   8 kJ/mol of formula units

Unit cell a=2.623 b=2.623 c=8.337 alpha=90.00 beta=90.00 gamma=108.69
Atoms (fractional coordinates):
Mn1 0.000 0.000 0.000
Cr1 0.000 0.000 0.500
Re1 0.500 0.500 0.249
Re2 0.500 0.500 0.751

=====

Density functional theory data (PBE-GGA) for an optimized crystal structure of Mn2CrRe.

## Properties
E_form   0.6 eV/f.u.

Unit cell a=2.601 b=2.601 c=7.297 alpha=90.00 beta=90.00 gamma=90.00
Atoms (fractional coordinates):
Mn1 0.000 0.000 0.000
Mn2 0.500 0.500 0.219
Cr1 0.500 0.500 0.767
Re1 0.000 0.000 0.488

=====

Density functional theory data (PBE-GGA) for an optimized crystal structure of Mn2CrRe.

## Properties
E_form   0.3 eV/f.u.

Unit cell a=2.563 b=4.042 c=4.935 alpha=90.00 beta=101.74 gamma=90.00
Atoms (fractional coordinates):
Mn1 0.224 0.000 0.260
Mn2 0.776 0.000 0.740
Cr1 0.000 0.500 0.500
Re1 0.500 0.500 0.000

=====

Density functional theory data (PBE-GGA) for an optimized crystal structure of MnCrRe2.

## Properties
E_form   0.4 eV/f.u.
Energy relative to the lowest polymorph listed for this composition   10 kJ/mol of formula units

Unit cell a=4.951 b=4.951 c=2.616 alpha=100.10 beta=100.10 gamma=115.68
Atoms (fractional coordinates):
Mn1 0.000 0.000 0.000
Cr1 0.500 0.500 0.000
Re1 0.000 0.500 0.500
Re2 0.500 0.000 0.500

=====

Density functional theory data (PBE-GGA) for an optimized crystal structure of MnCrRe3.

## Properties
E_form   8.5 eV/f.u.
Energy relative to the lowest polymorph listed for this composition   0 kJ/mol of formula units

Unit cell a=4.369 b=4.369 c=4.369 alpha=90.00 beta=90.00 gamma=90.00
Atoms (fractional coordinates):
Mn1 0.000 0.000 0.000
Cr1 0.500 0.500 0.500
Re1 0.000 0.000 0.500
Re2 0.000 0.500 0.000
Re3 0.500 0.000 0.000

=====

Density functional theory data (PBE-GGA) for an optimized crystal structure of MnCrRe2.

## Properties
E_form   0.3 eV/f.u.
Energy relative to the lowest polymorph listed for this composition   1 kJ/mol of formula units

Unit cell a=4.949 b=4.949 c=4.949 alpha=144.31 beta=129.52 gamma=63.35
Atoms (fractional coordinates):
Mn1 0.000 0.000 0.000
Cr1 0.762 0.262 0.500
Re1 0.258 0.758 0.500
Re2 0.518 0.518 0.000

=====

Density functional theory data (PBE-GGA) for an optimized crystal structure of MnCrRe2.

## Properties
E_form   0.6 eV/f.u.
Energy relative to the lowest polymorph listed for this composition   23 kJ/mol of formula units

Unit cell a=4.572 b=4.572 c=4.572 alpha=130.76 beta=130.76 gamma=72.19
Atoms (fractional coordinates):
Mn1 0.000 0.000 0.000
Cr1 0.500 0.500 0.000
Re1 0.250 0.750 0.500
Re2 0.750 0.250 0.500

=====

Density functional theory data (PBE-GGA) for an optimized crystal structure of MnCrRe.

## Properties
E_form   2.1 eV/f.u.
Energy relative to the lowest polymorph listed for this composition   223 kJ/mol of formula units

Unit cell a=4.052 b=4.052 c=4.052 alpha=60.00 beta=60.00 gamma=60.00
Atoms (fractional coordinates):
Mn1 0.000 0.000 0.000
Cr1 0.500 0.500 0.500
Re1 0.750 0.750 0.750

=====

Density functional theory data (PBE-GGA) for an optimized crystal structure of Mn2Cr4Re3.

## Properties
E_form   0.4 eV/f.u.

Unit cell a=4.177 b=4.177 c=7.626 alpha=90.00 beta=90.00 gamma=120.00
Atoms (fractional coordinates):
Mn1 0.333 0.667 0.062
Mn2 0.667 0.333 0.938
Cr1 0.000 0.000 0.158
Cr2 0.000 0.000 0.842
Cr3 0.333 0.667 0.390
Cr4 0.667 0.333 0.610
Re1 0.000 0.000 0.500
Re2 0.333 0.667 0.732
Re3 0.667 0.333 0.268

=====

Density functional theory data (PBE-GGA) for an optimized crystal structure of Mn2CrRe.

## Properties
E_form   0.6 eV/f.u.

Unit cell a=2.617 b=3.605 c=5.248 alpha=90.00 beta=90.00 gamma=90.00
Atoms (fractional coordinates):
Mn1 0.000 0.000 0.000
Mn2 0.500 0.500 0.233
Cr1 0.500 0.500 0.763
Re1 0.000 0.000 0.496